[1]
## Ca2TlBi3 (PBE-GGA)

Data for a geometry-optimized Ca2TlBi3 structure.

The space group is C2/c (No. 15) and the conventional cell measures 17.652, 6.663 and 6.558 Å, with angles of 90.00, 99.25 and 90.00 degrees. The asymmetric unit holds Ca at (0.159, 0.137, 0.068), Tl at (0.000, 0.467, 0.250), Bi at (0.000, 0.027, 0.750) and Bi at (0.182, 0.370, 0.582).

The final energy comes out at -3.47 eV per atom.


[2]
## Pa3Hg (PBE-GGA)

Data for a geometry-optimized Pa3Hg structure.

The space group is Pmm2 (No. 25) and the conventional cell measures 3.238, 5.506 and 5.506 Å, with angles of 90.00, 90.00 and 90.00 degrees. The asymmetric unit holds Pa at (0.000, 0.000, 0.000), Pa at (0.000, 0.500, 0.499), Pa at (0.500, 0.500, 0.999) and Hg at (0.500, 0.000, 0.500).

The final energy comes out at -7.20 eV per atom.


[3]
## TbEr2Ga4 (PBE-GGA)

Data for a geometry-optimized TbEr2Ga4 structure.

The space group is Immm (No. 71) and the conventional cell measures 4.118, 4.231 and 18.121 Å, with angles of 90.00, 90.00 and 90.00 degrees. The asymmetric unit holds Tb at (0.000, 0.000, 0.000), Er at (0.000, 0.500, 0.315), Ga at (0.000, 0.000, 0.433) and Ga at (0.000, 0.500, 0.148).

The final energy comes out at -4.33 eV per atom.


[4]
## La2Mg2Sn (PBE-GGA)

Data for a geometry-optimized La2Mg2Sn structure.

The space group is P4/mbm (No. 127) and the conventional cell measures 7.586, 7.586 and 5.143 Å, with angles of 90.00, 90.00 and 90.00 degrees. The asymmetric unit holds La at (0.170, 0.330, 0.000), Mg at (0.133, 0.633, 0.500) and Sn at (0.000, 0.000, 0.500).

The final energy comes out at -3.71 eV per atom.


[5]
## ZrOs2Pt (PBE-GGA)

Data for a geometry-optimized ZrOs2Pt structure.

The space group is I4/mmm (No. 139) and the conventional cell measures 3.993, 3.993 and 8.115 Å, with angles of 90.00, 90.00 and 90.00 degrees. The asymmetric unit holds Zr at (0.000, 0.000, 0.000), Os at (0.000, 0.500, 0.250) and Pt at (0.000, 0.000, 0.500).

The final energy comes out at -9.41 eV per atom.


[6]
## Cd2RuCl (PBE-GGA)

Data for a geometry-optimized Cd2RuCl structure.

The space group is Cmmm (No. 65) and the conventional cell measures 5.869, 8.225 and 3.134 Å, with angles of 90.00, 90.00 and 90.00 degrees. The asymmetric unit holds Cd at (0.250, 0.250, 0.000), Ru at (0.000, 0.000, 0.500) and Cl at (0.000, 0.500, 0.500).

As for the formation energy (no corrections): 0.24 eV per atom.


[7]
## LiHo2Cr (PBE-GGA)

Data for a geometry-optimized LiHo2Cr structure.

The space group is Fm-3m (No. 225) and the conventional cell measures 7.141, 7.141 and 7.141 Å, with angles of 90.00, 90.00 and 90.00 degrees. The asymmetric unit holds Li at (0.000, 0.000, 0.000), Ho at (0.250, 0.250, 0.250) and Cr at (0.000, 0.000, 0.500).

The final energy comes out at -5.01 eV per atom.


[8]
## Nd3HoCo (PBE-GGA)

Data for a geometry-optimized Nd3HoCo structure.

The space group is Pm-3m (No. 221) and the conventional cell measures 5.428, 5.428 and 5.428 Å, with angles of 90.00, 90.00 and 90.00 degrees. The asymmetric unit holds Nd at (0.000, 0.000, 0.500), Ho at (0.500, 0.500, 0.500) and Co at (0.000, 0.000, 0.000).

The final energy comes out at -5.08 eV per atom.


[9]
## CoReAs2 (PBE-GGA)

Data for a geometry-optimized CoReAs2 structure.

The space group is Pm (No. 6) and the conventional cell measures 3.107, 4.641 and 4.652 Å, with angles of 90.00, 109.30 and 90.00 degrees. The asymmetric unit holds Co at (0.000, 0.000, 0.000), Re at (0.581, 0.500, 0.163), As at (0.697, 0.000, 0.399) and As at (0.874, 0.500, 0.744).

The final energy comes out at -7.13 eV per atom.


[10]
## EuAlTlCd (PBE-GGA)

Data for a geometry-optimized EuAlTlCd structure.

The space group is F-43m (No. 216) and the conventional cell measures 7.399, 7.399 and 7.399 Å, with angles of 90.00, 90.00 and 90.00 degrees. The asymmetric unit holds Eu at (0.000, 0.000, 0.000), Al at (0.000, 0.000, 0.500), Tl at (0.250, 0.250, 0.250) and Cd at (0.250, 0.250, 0.750).

The final energy comes out at -4.49 eV per atom.


[11]
## NiBi3Mo (PBE-GGA)

Data for a geometry-optimized NiBi3Mo structure.

The space group is Pm-3m (No. 221) and the conventional cell measures 5.119, 5.119 and 5.119 Å, with angles of 90.00, 90.00 and 90.00 degrees. The asymmetric unit holds Ni at (0.000, 0.000, 0.000), Bi at (0.000, 0.000, 0.500) and Mo at (0.500, 0.500, 0.500).

The final energy comes out at -4.77 eV per atom.


[12]
## Tm2In2Hg (PBE-GGA)

Data for a geometry-optimized Tm2In2Hg structure.

The space group is C2/m (No. 12) and the conventional cell measures 11.202, 4.687 and 10.787 Å, with angles of 90.00, 114.77 and 90.00 degrees. The asymmetric unit holds Tm at (0.007, 0.000, 0.324), Tm at (0.173, 0.000, 0.096), In at (0.043, 0.500, 0.889), In at (0.143, 0.500, 0.554) and Hg at (0.223, 0.500, 0.312).

The final energy comes out at -3.31 eV per atom.


[13]
## RbCaCrS2 (PBE-GGA)

Data for a geometry-optimized RbCaCrS2 structure.

The space group is P4/mmm (No. 123) and the conventional cell measures 5.378, 5.378 and 5.616 Å, with angles of 90.00, 90.00 and 90.00 degrees. The asymmetric unit holds Rb at (0.000, 0.000, 0.000), Ca at (0.500, 0.500, 0.500), Cr at (0.500, 0.500, 0.000) and S at (0.000, 0.500, 0.500).

As for the formation energy (no corrections): -0.04 eV per atom.


[14]
## MgAs2Ru (PBE-GGA)

Data for a geometry-optimized MgAs2Ru structure.

The space group is F-43m (No. 216) and the conventional cell measures 6.399, 6.399 and 6.399 Å, with angles of 90.00, 90.00 and 90.00 degrees. The asymmetric unit holds Mg at (0.000, 0.000, 0.000), As at (0.000, 0.000, 0.500), As at (0.250, 0.250, 0.750) and Ru at (0.250, 0.250, 0.250).

The final energy comes out at -4.80 eV per atom.


[15]
## La5Cd3 (PBE-GGA)

Data for a geometry-optimized La5Cd3 structure.

The space group is P4/mmm (No. 123) and the conventional cell measures 3.938, 3.938 and 16.536 Å, with angles of 90.00, 90.00 and 90.00 degrees. The asymmetric unit holds La at (0.000, 0.000, 0.000), La at (0.000, 0.000, 0.235), La at (0.500, 0.500, 0.383), Cd at (0.000, 0.000, 0.500) and Cd at (0.500, 0.500, 0.122).

The final energy comes out at -3.66 eV per atom.


[16]
## Zr2CuCl (PBE-GGA)

Data for a geometry-optimized Zr2CuCl structure.

The space group is Fm-3m (No. 225) and the conventional cell measures 6.626, 6.626 and 6.626 Å, with angles of 90.00, 90.00 and 90.00 degrees. The asymmetric unit holds Zr at (0.250, 0.250, 0.250), Cu at (0.000, 0.000, 0.000) and Cl at (0.000, 0.000, 0.500).

As for the formation energy (no corrections): -0.13 eV per atom.


[17]
## RbTb2Dy3Te6 (PBE-GGA)

Data for a geometry-optimized RbTb2Dy3Te6 structure.

The space group is C2/m (No. 12) and the conventional cell measures 19.497, 4.378 and 9.123 Å, with angles of 90.00, 104.21 and 90.00 degrees. The asymmetric unit holds Rb at (0.000, 0.000, 0.000), Tb at (0.171, 0.500, 0.348), Dy at (0.000, 0.000, 0.500), Dy at (0.160, 0.500, 0.819), Te at (0.004, 0.500, 0.273), Te at (0.165, 0.000, 0.585) and Te at (0.177, 0.000, 0.087).

As for the formation energy (no corrections): -1.27 eV per atom.


[18]
## Pr2TeCl (PBE-GGA)

Data for a geometry-optimized Pr2TeCl structure.

The space group is P4/mmm (No. 123) and the conventional cell measures 3.804, 3.804 and 7.473 Å, with angles of 90.00, 90.00 and 90.00 degrees. The asymmetric unit holds Pr at (0.000, 0.000, 0.247), Te at (0.500, 0.500, 0.000) and Cl at (0.500, 0.500, 0.500).

As for the formation energy (no corrections): -1.30 eV per atom.


[19]
## NiRu2Rh2 (PBE-GGA)

Data for a geometry-optimized NiRu2Rh2 structure.

The space group is P2/m (No. 10) and the conventional cell measures 4.153, 2.674 and 6.574 Å, with angles of 90.00, 108.33 and 90.00 degrees. The asymmetric unit holds Ni at (0.000, 0.000, 0.000), Ru at (0.197, 0.000, 0.394) and Rh at (0.393, 0.500, 0.787).

The final energy comes out at -7.60 eV per atom.


[20]
## Re2WSe (PBE-GGA)

Data for a geometry-optimized Re2WSe structure.

The space group is Immm (No. 71) and the conventional cell measures 2.960, 4.506 and 9.144 Å, with angles of 90.00, 90.00 and 90.00 degrees. The asymmetric unit holds Re at (0.000, 0.000, 0.228), W at (0.000, 0.500, 0.000) and Se at (0.000, 0.500, 0.500).

As for the formation energy (no corrections): 0.42 eV per atom.


| no. | total magnetic moment (μB per formula unit) |
| --- | --- |
| 1 | 0.000 |
| 2 | 0.000 |
| 3 | 0.001 |
| 4 | 0.000 |
| 5 | 0.000 |
| 6 | 0.894 |
| 7 | 3.158 |
| 8 | 0.798 |
| 9 | 0.000 |
| 10 | 7.013 |
| 11 | 3.229 |
| 12 | 0.000 |
| 13 | 5.162 |
| 14 | 0.000 |
| 15 | 1.217 |
| 16 | 0.000 |
| 17 | 0.000 |
| 18 | 0.000 |
| 19 | 0.000 |
| 20 | 0.000 |